Entry from Alexandria: a geometry-optimized Pu2Ni3Sb4Rh structure (GGA-PBE).

a = 4.5071 Å, b = 4.5071 Å, c = 9.9203 Å
α = 90.00°, β = 90.00°, γ = 90.00°
Closest atoms and distances in Å follow each position.
Fractional coordinates of all 10 atoms:
1 Sb 0.5000 0.5000 0.0000  4 Ni 2.54
2 Sb 0.5000 0.0000 0.6343  3 Ni 2.46-2.62, 2 Rh 2.62
3 Sb 0.0000 0.0000 0.0000  4 Ni 2.54
4 Sb 0.0000 0.5000 0.3657  3 Ni 2.46-2.62, 2 Rh 2.62
5 Rh 0.5000 0.5000 0.5000  4 Sb 2.62
6 Ni 0.0000 0.5000 0.1175  5 Sb 2.46-2.54
7 Ni 0.0000 0.0000 0.5000  4 Sb 2.62
8 Ni 0.5000 0.0000 0.8825  5 Sb 2.46-2.54
9 Pu 0.5000 0.0000 0.2530  7 Ni 3.33-3.68, 2 Rh 3.33, 8 Sb 3.37-3.38
10 Pu 0.0000 0.5000 0.7470  7 Ni 3.33-3.68, 2 Rh 3.33, 8 Sb 3.37-3.38

## Properties
**Total DFT energy (no corrections)**: -0.2735 hartree per atom
**Crystal system**: tetragonal
**Formation energy from raw total energies**: -0.456 eV per atom

Entry from Alexandria: a geometry-optimized PuScNiRh structure (GGA-PBE).

a = 4.6865 Å, b = 4.6865 Å, c = 4.6865 Å
α = 60.00°, β = 60.00°, γ = 60.00°
Closest atoms and distances in Å follow each position.
Fractional coordinates of all 4 atoms:
1 Rh 0.5000 0.5000 0.5000  4 Pu 2.87, 4 Sc 2.87
2 Ni 0.0000 0.0000 0.0000  4 Sc 2.87, 4 Pu 2.87
3 Pu 0.7500 0.7500 0.7500  4 Rh 2.87, 4 Ni 2.87
4 Sc 0.2500 0.2500 0.2500  4 Ni 2.87, 4 Rh 2.87

## Properties
**Total DFT energy (no corrections)**: -0.3260 hartree per atom
**Crystal system**: cubic
**Energy of formation**: -0.4217 eV per atom

Entry from Alexandria: a geometry-optimized Pu2Si2NiRh5 structure (GGA-PBE).

a = 3.5590 Å, b = 9.5330 Å, c = 9.5330 Å
α = 90.00°, β = 90.00°, γ = 90.00°
Closest atoms and distances in Å follow each position.
Fractional coordinates of all 20 atoms:
1 Si 0.0000 0.8758 0.3758  6 Rh 2.44-2.46, 1 Pu 2.69
2 Si 0.0000 0.3758 0.1242  6 Rh 2.44-2.46, 1 Pu 2.69
3 Si 0.0000 0.1242 0.6242  6 Rh 2.44-2.46, 1 Pu 2.69
4 Si 0.0000 0.6242 0.8758  6 Rh 2.44-2.46, 1 Pu 2.69
5 Pu 0.0000 0.1762 0.3238  3 Si 2.69-2.91, 2 Rh 2.97
6 Pu 0.0000 0.3238 0.8238  3 Si 2.69-2.91, 2 Rh 2.97
7 Pu 0.0000 0.8238 0.6762  3 Si 2.69-2.91, 2 Rh 2.97
8 Pu 0.0000 0.6762 0.1762  3 Si 2.69-2.91, 2 Rh 2.97
9 Rh 0.5000 0.7062 0.4326  2 Si 2.46, 2 Ni 2.73
10 Rh 0.5000 0.7938 0.9326  2 Si 2.46, 2 Ni 2.73
11 Rh 0.5000 0.2062 0.0674  2 Si 2.46, 2 Ni 2.73
12 Rh 0.5000 0.9326 0.2062  2 Si 2.46, 2 Ni 2.73
13 Rh 0.5000 0.0674 0.7938  2 Si 2.46, 2 Ni 2.73
14 Rh 0.5000 0.5000 0.0000  4 Si 2.44
15 Rh 0.5000 0.2938 0.5674  2 Si 2.46, 2 Ni 2.73
16 Rh 0.5000 0.4326 0.2938  2 Si 2.46, 2 Ni 2.73
17 Rh 0.5000 0.0000 0.5000  4 Si 2.44
18 Rh 0.5000 0.5674 0.7062  2 Si 2.46, 2 Ni 2.73
19 Ni 0.0000 0.5000 0.5000  8 Rh 2.73
20 Ni 0.0000 0.0000 0.0000  8 Rh 2.73

## Properties
**Total DFT energy (no corrections)**: -0.3215 hartree per atom
**Crystal system**: tetragonal
**Formation energy from raw total energies**: -0.543 eV per atom

| no. | N(E_F) (states/eV/cell) |
| --- | --- |
| 1 | 29.67 |
| 2 | 10.01 |
| 3 | 51.07 |